A geometry-optimized Li2AcYHg4 structure. Source: Alexandria via LeMat-Bulk, functional PBE.

Results
total DFT energy (no corrections) = -2.3803 eV per atom
size of the total moment = 0.00 μB per cell
symmetry = R-3m, No. 166
density = 9.4 g/cm3
DFT formation energy = -0.43 eV/atom

Cell lengths 5.002, 5.002, 9.683 Å; angles 75.03, 75.03, 60.00 degrees
Positions (direct):
Li  0.762  0.762  0.714
Li  0.238  0.238  0.286
Ac  0.000  0.000  0.000
Y  0.500  0.500  0.500
Hg  0.391  0.391  0.827
Hg  0.876  0.876  0.373
Hg  0.124  0.124  0.627
Hg  0.609  0.609  0.173

***

A geometry-optimized Li4Ac2ZnHg3 structure. Source: Alexandria via LeMat-Bulk, functional PBE.

Results
total DFT energy (no corrections) = -2.1047 eV per atom
size of the total moment = 0.00 μB per cell
symmetry = P-4m2, No. 115
density = 7.9 g/cm3
DFT formation energy = -0.30 eV/atom

Cell lengths 4.618, 4.618, 11.287 Å; angles 90.00, 90.00, 90.00 degrees
Positions (direct):
Li  0.500  0.500  0.000
Li  0.000  0.000  0.000
Li  0.500  0.000  0.616
Li  0.000  0.500  0.384
Ac  0.500  0.000  0.267
Ac  0.000  0.500  0.733
Zn  0.500  0.500  0.500
Hg  0.000  0.000  0.500
Hg  0.500  0.000  0.858
Hg  0.000  0.500  0.142

***

A geometry-optimized AcLu2Hg structure. Source: Alexandria via LeMat-Bulk, functional PBE.

Results
total DFT energy (no corrections) = -3.5469 eV per atom
size of the total moment = 0.00 μB per cell
symmetry = P4/mmm, No. 123
density = 10.6 g/cm3
DFT formation energy = -0.18 eV/atom

Cell lengths 3.682, 3.682, 9.019 Å; angles 90.00, 90.00, 90.00 degrees
Positions (direct):
Ac  0.500  0.500  0.500
Lu  0.000  0.000  0.800
Lu  0.000  0.000  0.200
Hg  0.500  0.500  0.000

***

A geometry-optimized AcLuHg structure. Source: Alexandria via LeMat-Bulk, functional PBE.

Results
total DFT energy (no corrections) = -3.2445 eV per atom
size of the total moment = 0.43 μB per cell
symmetry = I4mm, No. 107
density = 10.6 g/cm3
DFT formation energy = -0.27 eV/atom

Cell lengths 3.804, 3.804, 7.078 Å; angles 105.59, 105.59, 90.00 degrees
Positions (direct):
Ac  0.006  0.006  0.013
Lu  0.304  0.304  0.608
Hg  0.689  0.689  0.379

***

A geometry-optimized AcLu2Hg structure. Source: Alexandria via LeMat-Bulk, functional PBE.

Results
total DFT energy (no corrections) = -3.4167 eV per atom
size of the total moment = 0.53 μB per cell
symmetry = P4/mmm, No. 123
density = 10.6 g/cm3
DFT formation energy = -0.05 eV/atom

Cell lengths 5.037, 4.907, 4.907 Å; angles 90.00, 90.00, 90.00 degrees
Positions (direct):
Ac  0.500  0.500  0.500
Lu  0.000  0.000  0.500
Lu  0.000  0.500  0.000
Hg  0.500  0.000  0.000

***

A geometry-optimized AcLu2Hg structure. Source: Alexandria via LeMat-Bulk, functional PBE.

Results
total DFT energy (no corrections) = -3.2495 eV per atom
size of the total moment = 0.02 μB per cell
symmetry = Fm-3m, No. 225
density = 10.9 g/cm3
DFT formation energy = 0.11 eV/atom

Cell lengths 5.510, 5.510, 5.510 Å; angles 60.00, 60.00, 60.00 degrees
Positions (direct):
Ac  0.000  0.000  0.000
Lu  0.250  0.250  0.250
Lu  0.750  0.750  0.750
Hg  0.500  0.500  0.500

***

A geometry-optimized AcLuHg structure. Source: Alexandria via LeMat-Bulk, functional PBE.

Results
total DFT energy (no corrections) = -3.1785 eV per atom
size of the total moment = 0.00 μB per cell
symmetry = P-6m2, No. 187
density = 10.3 g/cm3
DFT formation energy = -0.20 eV/atom

Cell lengths 4.103, 5.226, 5.226 Å; angles 120.00, 90.00, 90.00 degrees
Positions (direct):
Ac  0.667  0.667  0.333
Lu  0.167  0.000  0.000
Hg  0.167  0.333  0.667

***

A geometry-optimized AcLuHgPb structure. Source: Alexandria via LeMat-Bulk, functional PBE.

Results
total DFT energy (no corrections) = -3.5360 eV per atom
size of the total moment = 0.00 μB per cell
symmetry = F-43m, No. 216
density = 11.1 g/cm3
DFT formation energy = -0.38 eV/atom

Cell lengths 5.561, 5.561, 5.561 Å; angles 60.00, 60.00, 60.00 degrees
Positions (direct):
Pb  0.250  0.250  0.250
Ac  0.000  0.000  0.000
Lu  0.500  0.500  0.500
Hg  0.750  0.750  0.750